No. 1
Compound: SiBiC2
Source: Alexandria
Functional: GGA-PBE
Structure: optimized geometry

Computed properties:
Total magnetic moment = 0.00 μB/f.u.
Energy relative to the elements, uncorrected = 2319 meV/atom
SG = No. 225
DOS(E_F) = 2.65 states/eV/cell
Energy = -18.5 eV for the cell shown
E above lowest polymorph = 1465 meV/atom
ρ = 7.83 g cm⁻³

Geometry as extended XYZ:
```
4
Lattice="0.0000 3.0251 3.0251 3.0251 0.0000 3.0251 3.0251 3.0251 0.0000" Properties=species:S:1:pos:R:3 pbc="T T T"
Si 0.0000 0.0000 0.0000
Bi 3.0251 3.0251 3.0251
C 1.5125 1.5125 1.5125
C 4.5376 4.5376 4.5376
```

No. 2
Compound: Cs2PrGa2O6
Source: Alexandria
Functional: GGA-PBE
Structure: optimized geometry

Computed properties:
Total magnetic moment = 1.09 μB/f.u.
Energy relative to the elements, uncorrected = -1849 meV/atom
SG = No. 166
DOS(E_F) = 10.33 states/eV/cell
Energy = -62.6 eV for the cell shown
ρ = 4.57 g cm⁻³

Geometry as extended XYZ:
```
11
Lattice="3.1767 1.8340 6.6818 -3.1767 1.8340 6.6818 0.0000 -3.6681 6.6818" Properties=species:S:1:pos:R:3 pbc="T T T"
Cs 0.0000 0.0000 4.1541
Cs 0.0000 0.0000 15.8915
Pr 0.0000 0.0000 0.0000
Ga 0.0000 0.0000 8.1479
Ga 0.0000 0.0000 11.8976
O 0.0000 -1.7881 8.1694
O -1.5486 0.8941 8.1694
O -1.5486 -0.8941 11.8761
O 1.5486 0.8941 8.1694
O 1.5486 -0.8941 11.8761
O 0.0000 1.7881 11.8761
```

No. 3
Compound: AgWAu4
Source: Alexandria
Functional: GGA-PBE
Structure: optimized geometry

Computed properties:
Total magnetic moment = 3.19 μB/f.u.
ΔH_f (0 K) = 669.1 meV per atom
SG = No. 216
DOS(E_F) = 3.52 states/eV/cell
Energy = -24.9 eV for the cell shown
ρ = 15.76 g cm⁻³

Geometry as extended XYZ:
```
6
Lattice="0.0000 3.8457 3.8457 3.8457 0.0000 3.8457 3.8457 3.8457 0.0000" Properties=species:S:1:pos:R:3 pbc="T T T"
Ag 0.0000 0.0000 0.0000
W 1.9228 1.9228 1.9228
Au 4.8069 2.8844 2.8844
Au 2.8844 4.8069 2.8844
Au 2.8844 2.8844 4.8069
Au 4.8069 4.8069 4.8069
```

No. 4
Compound: SrInOs2
Source: Alexandria
Functional: GGA-PBE
Structure: optimized geometry

Computed properties:
Total magnetic moment = 0.00 μB/f.u.
ΔH_f (0 K) = 998.4 meV per atom
SG = No. 65
DOS(E_F) = 4.18 states/eV/cell
Energy = -22.9 eV for the cell shown
ρ = 12.69 g cm⁻³

Geometry as extended XYZ:
```
4
Lattice="1.6335 -2.4731 0.0000 1.6335 2.4731 0.0000 0.0000 0.0000 9.4402" Properties=species:S:1:pos:R:3 pbc="T T T"
Sr 0.0000 0.0000 0.0000
In 0.0000 0.0000 4.7201
Os 1.6335 0.0000 2.5306
Os 1.6335 0.0000 6.9096
```